(1)
DFT (SCAN) results for KLi3Al at its PBEsol-relaxed geometry.

The space group is Pm-3m (No. 221) and the conventional cell measures 5.038, 5.038 and 5.038 Å, with angles of 90.00, 90.00 and 90.00 degrees. The distinct sites, in fractional coordinates, are K at (0.000, 0.000, 0.000), Li at (0.000, 0.000, 0.500) and Al at (0.500, 0.500, 0.500).

As for the total moment: 0.0 μB per cell. For the energy of formation, the calculation gives 0.854 eV per atom. Its energy relative to the lowest polymorph listed for this composition is 717 meV/atom. The value obtained for the density of states at the Fermi level is 2.7 states/eV/cell.



(2)
DFT (SCAN) results for KLiAl2 at its PBEsol-relaxed geometry.

The space group is I-42d (No. 122) and the conventional cell measures 4.836, 4.836 and 20.547 Å, with angles of 90.00, 90.00 and 90.00 degrees. The distinct sites, in fractional coordinates, are K at (0.000, 0.000, 0.000), Li at (0.000, 0.000, 0.500) and Al at (0.078, 0.750, 0.625).

As for the total moment: 0.0 μB per cell. For the energy of formation, the calculation gives 0.329 eV per atom. Its energy relative to the lowest polymorph listed for this composition is 151 meV/atom. The value obtained for the density of states at the Fermi level is 6.2 states/eV/cell.